# ThPaW

ThPaW after structural relaxation (PBE, OQMD).

Results
Energy of formation from the pure elements: 1.092 eV per atom
Space-group type: F-43m, No. 216

a b c (Å): 6.805 6.805 6.805
angles (deg): 90.00 90.00 90.00
Fractional coordinates of all 12 atoms:
Th  0.000  0.000  0.000
Th  0.000  0.500  0.500
Th  0.500  0.000  0.500
Th  0.500  0.500  0.000
Pa  0.250  0.250  0.250
Pa  0.250  0.750  0.750
Pa  0.750  0.250  0.750
Pa  0.750  0.750  0.250
W  0.000  0.000  0.500
W  0.000  0.500  0.000
W  0.500  0.000  0.000
W  0.500  0.500  0.500

=====

# NaTaZnPd

NaTaZnPd after structural relaxation (PBE, OQMD).

Results
Energy relative to the lowest polymorph listed for this composition: 0.04 eV per formula unit
Space-group type: F-43m, No. 216

a b c (Å): 6.374 6.374 6.374
angles (deg): 90.00 90.00 90.00
Fractional coordinates of all 16 atoms:
Na  0.000  0.000  0.000
Na  0.000  0.500  0.500
Na  0.500  0.000  0.500
Na  0.500  0.500  0.000
Ta  0.250  0.250  0.750
Ta  0.250  0.750  0.250
Ta  0.750  0.250  0.250
Ta  0.750  0.750  0.750
Zn  0.250  0.250  0.250
Zn  0.250  0.750  0.750
Zn  0.750  0.250  0.750
Zn  0.750  0.750  0.250
Pd  0.000  0.000  0.500
Pd  0.000  0.500  0.000
Pd  0.500  0.000  0.000
Pd  0.500  0.500  0.500

=====

Number 1: total DFT energy (no corrections) -8.86 eV per atom. Number 2: total DFT energy (no corrections) -4.65 eV per atom.